1.
SbAsPbO6 | PBE | optimized geometry

Unit cell a=5.1863 b=5.1863 c=5.5028 alpha=90.00 beta=90.00 gamma=120.00
With the nearest neighbours (Å) after each atom.
Space group P312 (No. 149)
Inequivalent atoms, fractional coordinates:
Sb  0.0000  0.0000  0.0000 (multiplicity 1)  6 O 2.02
As  0.6667  0.3333  0.0000 (multiplicity 1)  6 O 1.88
Pb  0.3333  0.6667  0.5000 (multiplicity 1)  6 O 2.59
O  0.3527  0.0582  0.1976 (multiplicity 6)  1 As 1.88, 1 Sb 2.02

## Properties
crystal system = trigonal

=====

2.
SbAs2PbO8 | PBE | optimized geometry

Unit cell a=5.0196 b=5.0196 c=24.1880 alpha=90.00 beta=90.00 gamma=120.00
With the nearest neighbours (Å) after each atom.
Space group R32 (No. 155, hexagonal axes)
Inequivalent atoms, fractional coordinates:
Sb  0.0000  0.0000  0.0000 (multiplicity 3)  6 O 2.15
As  0.0000  0.0000  0.2531 (multiplicity 6)  4 O 1.70-1.74
Pb  0.0000  0.0000  0.5000 (multiplicity 3)  12 O 2.92-3.16
O  0.0000  0.0000  0.1828 (multiplicity 6)  1 As 1.70
O  0.0012  0.3458  0.6090 (multiplicity 18)  1 As 1.74

## Properties
crystal system = trigonal

=====

3.
Zn3SbAs2Pb3O14 | PBE | optimized geometry

Unit cell a=8.6223 b=8.6223 c=5.3285 alpha=90.00 beta=90.00 gamma=120.00
With the nearest neighbours (Å) after each atom.
Space group P321 (No. 150)
Inequivalent atoms, fractional coordinates:
Zn  0.0000  0.2395  0.0000 (multiplicity 3)  4 O 1.94-2.04
Sb  0.0000  0.0000  0.5000 (multiplicity 1)  6 O 2.02
As  0.3333  0.6667  0.0526 (multiplicity 2)  4 O 1.71-1.74
Pb  0.0000  0.6015  0.5000 (multiplicity 3)  2 O 2.35
O  0.0826  0.8662  0.7231 (multiplicity 6)  1 Zn 1.94, 1 Sb 2.02
O  0.1640  0.4715  0.1862 (multiplicity 6)  1 As 1.74
O  0.3333  0.6667  0.7315 (multiplicity 2)  1 As 1.71

## Properties
crystal system = trigonal

=====

4.
ScAsPb2O6 | PBE | optimized geometry

Unit cell a=5.6784 b=5.6784 c=28.9570 alpha=90.00 beta=90.00 gamma=120.00
With the nearest neighbours (Å) after each atom.
Space group R-3m (No. 166, hexagonal axes)
Inequivalent atoms, fractional coordinates:
Sc  0.0000  0.0000  0.0938 (multiplicity 6)  6 O 2.04-2.19
As  0.0000  0.0000  0.0000 (multiplicity 3)  6 O 1.88
As  0.0000  0.0000  0.5000 (multiplicity 3)  6 O 1.86
Pb  0.0000  0.0000  0.2099 (multiplicity 6)  12 O 2.85-3.03
Pb  0.0000  0.0000  0.3588 (multiplicity 6)  9 O 2.57-2.87
O  0.0188  0.5094  0.2026 (multiplicity 18)  1 As 1.86, 1 Sc 2.04
O  0.0274  0.5137  0.6280 (multiplicity 18)  1 As 1.88

## Properties
crystal system = trigonal

=====

Results for energy relative to the elements, uncorrected: -1.340 -1.111 -1.311 -1.713 (in eV per atom, following the order of the records).